Record 1
Compound: PaS2F
Source: Alexandria via LeMat-Bulk
Functional: PBE
Structure: relaxed

Summary:
The calculation puts the total energy at -6.8493 eV/atom. Its uncorrected formation energy is -1.944 eV/atom.

The structure in CIF format:
```
data_PaS2F
_cell_length_a 3.719
_cell_length_b 3.719
_cell_length_c 4.823
_cell_angle_alpha 90.00
_cell_angle_beta 90.00
_cell_angle_gamma 90.00
_space_group_name_H-M_alt 'P 4/m m m'
_space_group_IT_number 123
_space_group_name_Hall '-P 4 2'
loop_
_atom_site_label
_atom_site_type_symbol
_atom_site_fract_x
_atom_site_fract_y
_atom_site_fract_z
Pa1 Pa 0.000 0.000 0.000
S1 S 0.500 0.500 0.243
F1 F 0.000 0.000 0.500
```



Record 2
Compound: Th3Ni8Pd
Source: Alexandria via LeMat-Bulk
Functional: PBE
Structure: relaxed

Summary:
The calculation puts the total energy at -6.5831 eV/atom. The value obtained for the formation enthalpy at 0 K is -0.441 eV/atom.

The structure in CIF format:
```
data_Th3Ni8Pd
_cell_length_a 5.0684
_cell_length_b 5.0684
_cell_length_c 8.4609
_cell_angle_alpha 90.00
_cell_angle_beta 90.00
_cell_angle_gamma 120.00
_space_group_name_H-M_alt 'P 3 m 1'
_space_group_IT_number 156
loop_
_space_group_symop_operation_xyz
'x,y,z'
'-y,x-y,z'
'-x+y,-x,z'
'-y,-x,z'
'-x+y,y,z'
'x,x-y,z'
loop_
_atom_site_label
_atom_site_type_symbol
_atom_site_fract_x
_atom_site_fract_y
_atom_site_fract_z
Th1 Th 0.0000 0.0000 0.0000
Th2 Th 0.0000 0.0000 0.3922
Th3 Th 0.3333 0.6667 0.8141
Ni1 Ni 0.0012 0.5006 0.1775
Ni2 Ni 0.3393 0.1697 0.6766
Ni3 Ni 0.6667 0.3333 0.4256
Ni4 Ni 0.6667 0.3333 0.9328
Pd1 Pd 0.3333 0.6667 0.4564
```



Record 3
Compound: NaZnSO4
Source: Alexandria via LeMat-Bulk
Functional: PBE
Structure: relaxed

Summary:
The calculation puts the total energy at -5.0589 eV/atom. Its uncorrected formation energy is -1.266 eV/atom.

The structure in CIF format:
```
data_NaZnSO4
_cell_length_a 5.570
_cell_length_b 7.274
_cell_length_c 8.920
_cell_angle_alpha 90.00
_cell_angle_beta 90.00
_cell_angle_gamma 90.00
_space_group_name_H-M_alt 'I m m a'
_space_group_IT_number 74
_space_group_name_Hall '-I 2b 2'
loop_
_atom_site_label
_atom_site_type_symbol
_atom_site_fract_x
_atom_site_fract_y
_atom_site_fract_z
Na1 Na 0.000 0.000 0.000
Zn1 Zn 0.250 0.250 0.250
S1 S 0.000 0.250 0.599
O1 O 0.000 0.081 0.690
O2 O 0.222 0.250 0.498
```



Record 4
Compound: CdGa3Ag6
Source: Alexandria via LeMat-Bulk
Functional: PBE
Structure: relaxed

Summary:
The calculation puts the total energy at -2.6712 eV/atom. The value obtained for the formation enthalpy at 0 K is 0.039 eV/atom.

The structure in CIF format:
```
data_CdGa3Ag6
_cell_length_a 9.245
_cell_length_b 4.119
_cell_length_c 11.060
_cell_angle_alpha 90.00
_cell_angle_beta 114.61
_cell_angle_gamma 90.00
_space_group_name_H-M_alt 'P 1 21/m 1'
_space_group_IT_number 11
loop_
_space_group_symop_operation_xyz
'x,y,z'
'-x,-y,-z'
'-x,y+1/2,-z'
'x,-y+1/2,z'
loop_
_atom_site_label
_atom_site_type_symbol
_atom_site_fract_x
_atom_site_fract_y
_atom_site_fract_z
Cd1 Cd 0.043 0.250 0.228
Ga1 Ga 0.097 0.250 0.506
Ga2 Ga 0.305 0.750 0.951
Ga3 Ga 0.405 0.250 0.364
Ag1 Ag 0.104 0.250 0.976
Ag2 Ag 0.211 0.750 0.689
Ag3 Ag 0.246 0.750 0.176
Ag4 Ag 0.269 0.750 0.444
Ag5 Ag 0.415 0.250 0.658
Ag6 Ag 0.454 0.250 0.124
```



Record 5
Compound: Na2Li3Tl8
Source: Alexandria via LeMat-Bulk
Functional: PBE
Structure: relaxed

Summary:
The calculation puts the total energy at -2.1379 eV/atom. The value obtained for the formation enthalpy at 0 K is -0.037 eV/atom.

The structure in CIF format:
```
data_Na2Li3Tl8
_cell_length_a 14.062
_cell_length_b 8.110
_cell_length_c 6.377
_cell_angle_alpha 90.00
_cell_angle_beta 99.08
_cell_angle_gamma 90.00
_space_group_name_H-M_alt 'C 1 2/m 1'
_space_group_IT_number 12
loop_
_space_group_symop_operation_xyz
'x,y,z'
'-x,-y,-z'
'-x,y,-z'
'x,-y,z'
'x+1/2,y+1/2,z'
'-x+1/2,-y+1/2,-z'
'-x+1/2,y+1/2,-z'
'x+1/2,-y+1/2,z'
loop_
_atom_site_label
_atom_site_type_symbol
_atom_site_fract_x
_atom_site_fract_y
_atom_site_fract_z
Na1 Na 0.212 0.000 0.284
Li1 Li 0.000 0.000 0.500
Li2 Li 0.000 0.180 0.000
Tl1 Tl 0.101 0.500 0.908
Tl2 Tl 0.105 0.307 0.418
Tl3 Tl 0.183 0.000 0.789
```



Record 6
Compound: CaLa2F
Source: Alexandria via LeMat-Bulk
Functional: PBE
Structure: relaxed

Summary:
The calculation puts the total energy at -4.5340 eV/atom. Its uncorrected formation energy is -1.102 eV/atom.

The structure in CIF format:
```
data_CaLa2F
_cell_length_a 7.887
_cell_length_b 7.887
_cell_length_c 8.767
_cell_angle_alpha 90.00
_cell_angle_beta 90.00
_cell_angle_gamma 90.00
_space_group_name_H-M_alt 'I -4 2 d'
_space_group_IT_number 122
_space_group_name_Hall 'I -4 2bw'
loop_
_atom_site_label
_atom_site_type_symbol
_atom_site_fract_x
_atom_site_fract_y
_atom_site_fract_z
Ca1 Ca 0.000 0.000 0.000
La1 La 0.120 0.250 0.625
F1 F 0.000 0.000 0.500
```



Record 7
Compound: Cs2Te3As2
Source: Alexandria via LeMat-Bulk
Functional: PBE
Structure: relaxed

Summary:
The calculation puts the total energy at -3.3229 eV/atom. Its uncorrected formation energy is -0.404 eV/atom.

The structure in CIF format:
```
data_Cs2Te3As2
_cell_length_a 14.064
_cell_length_b 5.064
_cell_length_c 8.152
_cell_angle_alpha 90.00
_cell_angle_beta 110.45
_cell_angle_gamma 90.00
_space_group_name_H-M_alt 'C 1 2/m 1'
_space_group_IT_number 12
loop_
_space_group_symop_operation_xyz
'x,y,z'
'-x,-y,-z'
'-x,y,-z'
'x,-y,z'
'x+1/2,y+1/2,z'
'-x+1/2,-y+1/2,-z'
'-x+1/2,y+1/2,-z'
'x+1/2,-y+1/2,z'
loop_
_atom_site_label
_atom_site_type_symbol
_atom_site_fract_x
_atom_site_fract_y
_atom_site_fract_z
Cs1 Cs 0.111 0.000 0.268
Te1 Te 0.000 0.500 0.500
Te2 Te 0.189 0.000 0.800
As1 As 0.134 0.500 0.877
```



Record 8
Compound: Zn5Tc
Source: Alexandria via LeMat-Bulk
Functional: PBE
Structure: relaxed

Summary:
The calculation puts the total energy at -2.4866 eV/atom. The value obtained for the formation enthalpy at 0 K is 0.303 eV/atom.

The structure in CIF format:
```
data_Zn5Tc
_cell_length_a 4.9632
_cell_length_b 4.9632
_cell_length_c 4.2047
_cell_angle_alpha 90.00
_cell_angle_beta 90.00
_cell_angle_gamma 120.00
_space_group_name_H-M_alt 'P 6/m m m'
_space_group_IT_number 191
_space_group_name_Hall '-P 6 2'
loop_
_atom_site_label
_atom_site_type_symbol
_atom_site_fract_x
_atom_site_fract_y
_atom_site_fract_z
Zn1 Zn 0.0000 0.5000 0.0000
Zn2 Zn 0.3333 0.6667 0.5000
Tc1 Tc 0.0000 0.0000 0.5000
```